Record 1
A geometry-optimized NdAgSnHg structure, computed with GGA-PBE.

## Properties
Crystal system: cubic
Magnetization in μB per cell: 0.00
Formation energy in eV/atom: -0.3622

```
4
Lattice="-3.576 3.705 0.594 -3.151 -0.076 4.114 0.538 3.545 3.742" Properties=species:S:1:pos:R:3 pbc="T T T"
Hg -4.641 5.380 6.338
Ag -1.547 1.793 2.113
Sn 0.000 0.000 0.000
Nd -3.094 3.587 4.225
```



Record 2
A geometry-optimized Li2AgMo structure, computed with GGA-PBE.

## Properties
Crystal system: orthorhombic
Offset from the most stable computed form in meV/atom: 210
Magnetization in μB per cell: 0.00
Formation energy in eV/atom: 0.3853

```
4
Lattice="2.631 0.000 0.000 0.000 4.888 0.000 0.000 0.000 5.042" Properties=species:S:1:pos:R:3 pbc="T T T"
Mo 1.316 2.444 0.000
Li 0.000 0.000 0.000
Li 1.316 0.000 2.521
Ag 0.000 2.444 2.521
```



Record 3
A geometry-optimized KRu2 structure, computed with GGA-PBE.

## Properties
Crystal system: tetragonal
Magnetization in μB per cell: 4.63
Formation energy in eV/atom: 1.8362

```
6
Lattice="2.607 0.398 5.112 -2.277 4.097 -3.333 -4.761 -2.857 1.502" Properties=species:S:1:pos:R:3 pbc="T T T"
Ru -2.815 2.460 0.906
Ru -1.616 -0.821 2.375
Ru 0.102 1.153 3.668
Ru -4.533 0.486 -0.388
K 0.247 3.371 1.334
K 0.082 1.124 0.445
```



Repeat the third record exactly.
A geometry-optimized KRu2 structure, computed with GGA-PBE.

## Properties
Crystal system: tetragonal
Magnetization in μB per cell: 4.63
Formation energy in eV/atom: 1.8362

```
6
Lattice="2.607 0.398 5.112 -2.277 4.097 -3.333 -4.761 -2.857 1.502" Properties=species:S:1:pos:R:3 pbc="T T T"
Ru -2.815 2.460 0.906
Ru -1.616 -0.821 2.375
Ru 0.102 1.153 3.668
Ru -4.533 0.486 -0.388
K 0.247 3.371 1.334
K 0.082 1.124 0.445
```



> What is the magnetization in the first record?

0.00 μB per cell



Please write out number 3 again, unchanged.
A geometry-optimized KRu2 structure, computed with GGA-PBE.

## Properties
Crystal system: tetragonal
Magnetization in μB per cell: 4.63
Formation energy in eV/atom: 1.8362

```
6
Lattice="2.607 0.398 5.112 -2.277 4.097 -3.333 -4.761 -2.857 1.502" Properties=species:S:1:pos:R:3 pbc="T T T"
Ru -2.815 2.460 0.906
Ru -1.616 -0.821 2.375
Ru 0.102 1.153 3.668
Ru -4.533 0.486 -0.388
K 0.247 3.371 1.334
K 0.082 1.124 0.445
```